(1)
The following is a DFT calculation (PBE-GGA) of a relaxed structure of KGaBi2.

a b c (Å): 10.394 10.394 10.394
angles (deg): 146.72 146.72 47.78
Fractional positions:
K 0.000 0.000 0.000
K 0.750 0.250 0.500
Ga 0.250 0.750 0.500
Ga 0.500 0.500 0.000
Bi 0.267 0.625 0.142
Bi 0.375 0.517 0.642
Bi 0.483 0.125 0.858
Bi 0.875 0.733 0.358

Summary:
- Calculated formation energy: -36.2 meV/atom
- Total moment: 0.00 μB/f.u.
- Space-group type: I-42d (122)



(2)
The following is a DFT calculation (PBE-GGA) of a relaxed structure of KGa2Bi2.

a b c (Å): 9.139 9.139 3.722
angles (deg): 90.00 90.00 90.00
Fractional positions:
K 0.000 0.000 0.000
K 0.500 0.500 0.000
Ga 0.147 0.353 0.500
Ga 0.353 0.853 0.500
Ga 0.647 0.147 0.500
Ga 0.853 0.647 0.500
Bi 0.127 0.627 0.000
Bi 0.373 0.127 0.000
Bi 0.627 0.873 0.000
Bi 0.873 0.373 0.000

Summary:
- Calculated formation energy: -34.1 meV/atom
- Energy above the most stable polymorph in this dataset: 142 meV/atom
- Total moment: 0.00 μB/f.u.
- Space-group type: P4/mbm (127)



(3)
The following is a DFT calculation (PBE-GGA) of a relaxed structure of KGaBi3.

a b c (Å): 5.999 5.999 5.999
angles (deg): 90.00 90.00 90.00
Fractional positions:
K 0.000 0.000 0.000
Ga 0.500 0.500 0.500
Bi 0.000 0.000 0.500
Bi 0.000 0.500 0.000
Bi 0.500 0.000 0.000

Summary:
- Calculated formation energy: 1028.0 meV/atom
- Energy above the most stable polymorph in this dataset: 1130 meV/atom
- Total moment: 0.00 μB/f.u.
- Space-group type: Pm-3m (221)



(4)
The following is a DFT calculation (PBE-GGA) of a relaxed structure of K2Ga3Bi2.

a b c (Å): 7.585 7.585 7.203
angles (deg): 92.84 92.84 33.62
Fractional positions:
K 0.155 0.155 0.213
K 0.845 0.845 0.787
Ga 0.457 0.457 0.148
Ga 0.500 0.500 0.500
Ga 0.543 0.543 0.852
Bi 0.137 0.137 0.705
Bi 0.863 0.863 0.295

Summary:
- Calculated formation energy: -156.3 meV/atom
- Total moment: 0.00 μB/f.u.
- Space-group type: C2/m (12)



(5)
The following is a DFT calculation (PBE-GGA) of a relaxed structure of KGaBi2.

a b c (Å): 4.119 4.119 7.556
angles (deg): 90.00 90.00 90.00
Fractional positions:
K 0.000 0.000 0.000
Ga 0.000 0.000 0.500
Bi 0.500 0.500 0.303
Bi 0.500 0.500 0.697

Summary:
- Calculated formation energy: -63.2 meV/atom
- Total moment: 0.00 μB/f.u.
- Space-group type: P4/mmm (123)



(6)
The following is a DFT calculation (PBE-GGA) of a relaxed structure of KLiGaBi.

a b c (Å): 5.401 5.401 5.401
angles (deg): 60.00 60.00 60.00
Fractional positions:
K 0.000 0.000 0.000
Li 0.250 0.250 0.250
Ga 0.750 0.750 0.750
Bi 0.500 0.500 0.500

Summary:
- Calculated formation energy: -177.8 meV/atom
- Total moment: 0.00 μB/f.u.
- Space-group type: F-43m (216)



(7)
The following is a DFT calculation (PBE-GGA) of a relaxed structure of K2LiGaBi2.

a b c (Å): 9.551 9.551 9.551
angles (deg): 137.85 62.03 136.69
Fractional positions:
K 0.167 0.241 0.408
K 0.333 0.741 0.074
K 0.667 0.259 0.926
K 0.833 0.759 0.592
Li 0.250 0.250 0.000
Li 0.750 0.750 0.000
Ga 0.250 0.750 0.500
Ga 0.750 0.250 0.500
Bi 0.099 0.732 0.831
Bi 0.401 0.232 0.633
Bi 0.599 0.768 0.367
Bi 0.901 0.268 0.169

Summary:
- Calculated formation energy: -390.2 meV/atom
- Total moment: 0.00 μB/f.u.
- Space-group type: Ibam (72)



(8)
The following is a DFT calculation (PBE-GGA) of a relaxed structure of K2MgGaBi2.

a b c (Å): 9.669 9.669 9.669
angles (deg): 136.79 62.80 136.75
Fractional positions:
K 0.168 0.237 0.405
K 0.332 0.737 0.069
K 0.668 0.263 0.931
K 0.832 0.763 0.595
Mg 0.250 0.750 0.500
Mg 0.750 0.250 0.500
Ga 0.250 0.250 0.000
Ga 0.750 0.750 0.000
Bi 0.102 0.748 0.850
Bi 0.398 0.248 0.646
Bi 0.602 0.752 0.354
Bi 0.898 0.252 0.150

Summary:
- Calculated formation energy: -354.1 meV/atom
- Total moment: 0.00 μB/f.u.
- Space-group type: Ibam (72)



(9)
The following is a DFT calculation (PBE-GGA) of a relaxed structure of KNa2Ga2Bi2.

a b c (Å): 10.142 10.142 10.142
angles (deg): 29.14 29.14 29.14
Fractional positions:
K 0.000 0.000 0.000
Na 0.139 0.139 0.139
Na 0.861 0.861 0.861
Ga 0.451 0.451 0.451
Ga 0.549 0.549 0.549
Bi 0.248 0.248 0.248
Bi 0.752 0.752 0.752

Summary:
- Calculated formation energy: -210.3 meV/atom
- Total moment: 0.00 μB/f.u.
- Space-group type: R-3m (166)



(10)
The following is a DFT calculation (PBE-GGA) of a relaxed structure of KNa2GaBi2.

a b c (Å): 4.911 9.134 8.523
angles (deg): 90.00 90.00 90.00
Fractional positions:
K 0.000 0.066 0.000
K 0.000 0.934 0.500
Na 0.000 0.332 0.345
Na 0.000 0.668 0.845
Na 0.500 0.422 0.022
Na 0.500 0.578 0.522
Ga 0.500 0.168 0.641
Ga 0.500 0.832 0.141
Bi 0.000 0.339 0.715
Bi 0.000 0.661 0.215
Bi 0.500 0.125 0.291
Bi 0.500 0.875 0.791

Summary:
- Calculated formation energy: -266.3 meV/atom
- Total moment: 0.00 μB/f.u.
- Space-group type: Pmc2_1 (26)



(11)
The following is a DFT calculation (PBE-GGA) of a relaxed structure of KNaGaBi.

a b c (Å): 5.560 5.560 5.560
angles (deg): 60.00 60.00 60.00
Fractional positions:
K 0.000 0.000 0.000
Na 0.750 0.750 0.750
Ga 0.250 0.250 0.250
Bi 0.500 0.500 0.500

Summary:
- Calculated formation energy: -175.2 meV/atom
- Total moment: 0.00 μB/f.u.
- Space-group type: F-43m (216)



(12)
The following is a DFT calculation (PBE-GGA) of a relaxed structure of K3Ga2BiO6.

a b c (Å): 6.185 6.185 7.284
angles (deg): 90.00 90.00 120.00
Fractional positions:
K 0.000 0.000 0.000
K 0.333 0.667 0.750
K 0.667 0.333 0.250
Ga 0.333 0.667 0.290
Ga 0.667 0.333 0.710
Bi 0.000 0.000 0.500
O 0.167 0.333 0.285
O 0.167 0.833 0.285
O 0.333 0.167 0.715
O 0.667 0.833 0.285
O 0.833 0.167 0.715
O 0.833 0.667 0.715

Summary:
- Energy relative to the elements, uncorrected: -1.495 eV per atom
- Total moment: 0.00 μB/f.u.
- Space-group type: P-3m1 (164)



(13)
The following is a DFT calculation (PBE-GGA) of a relaxed structure of K4GaBi3O8.

a b c (Å): 7.454 7.454 7.454
angles (deg): 56.18 56.18 56.18
Fractional positions:
K 0.000 0.000 0.000
K 0.000 0.500 0.500
K 0.500 0.000 0.500
K 0.500 0.500 0.000
Ga 0.500 0.500 0.500
Bi 0.000 0.000 0.500
Bi 0.000 0.500 0.000
Bi 0.500 0.000 0.000
O 0.237 0.237 0.237
O 0.263 0.712 0.712
O 0.288 0.288 0.737
O 0.288 0.737 0.288
O 0.712 0.263 0.712
O 0.712 0.712 0.263
O 0.737 0.288 0.288
O 0.763 0.763 0.763

Summary:
- Energy relative to the elements, uncorrected: -1.348 eV per atom
- Total moment: 0.00 μB/f.u.
- Space-group type: R-3m (166)



(14)
The following is a DFT calculation (PBE-GGA) of a relaxed structure of K3GaBi3O8.

a b c (Å): 6.905 6.905 7.521
angles (deg): 117.28 117.28 60.09
Fractional positions:
K 0.000 0.000 0.000
K 0.000 0.500 0.000
K 0.500 0.000 0.000
Ga 0.000 0.000 0.500
Bi 0.000 0.500 0.500
Bi 0.500 0.000 0.500
Bi 0.500 0.500 0.500
O 0.206 0.762 0.676
O 0.208 0.208 0.676
O 0.238 0.794 0.324
O 0.265 0.265 0.296
O 0.735 0.735 0.704
O 0.762 0.206 0.676
O 0.792 0.792 0.324
O 0.794 0.238 0.324

Summary:
- Energy relative to the elements, uncorrected: -1.327 eV per atom
- Total moment: 0.00 μB/f.u.
- Space-group type: C2/m (12)



(15)
The following is a DFT calculation (PBE-GGA) of a relaxed structure of KGaBiPb.

a b c (Å): 4.682 4.682 13.279
angles (deg): 90.00 90.00 90.00
Fractional positions:
K 0.250 0.250 0.239
K 0.750 0.750 0.761
Ga 0.250 0.750 0.500
Ga 0.750 0.250 0.500
Bi 0.250 0.250 0.629
Bi 0.750 0.750 0.371
Pb 0.250 0.750 0.000
Pb 0.750 0.250 0.000

Summary:
- Calculated formation energy: -97.1 meV/atom
- Energy above the most stable polymorph in this dataset: 0 meV/atom
- Total moment: 0.00 μB/f.u.
- Space-group type: P4/nmm (129)



(16)
The following is a DFT calculation (PBE-GGA) of a relaxed structure of KGaBiPb.

a b c (Å): 5.629 5.629 5.629
angles (deg): 60.00 60.00 60.00
Fractional positions:
K 0.000 0.000 0.000
Ga 0.750 0.750 0.750
Bi 0.250 0.250 0.250
Pb 0.500 0.500 0.500

Summary:
- Calculated formation energy: 6.4 meV/atom
- Energy above the most stable polymorph in this dataset: 104 meV/atom
- Total moment: 0.00 μB/f.u.
- Space-group type: F-43m (216)



(17)
The following is a DFT calculation (PBE-GGA) of a relaxed structure of K2GaBi2Pb.

a b c (Å): 9.557 9.557 9.557
angles (deg): 131.19 69.13 134.24
Fractional positions:
K 0.164 0.235 0.399
K 0.336 0.735 0.070
K 0.664 0.265 0.930
K 0.836 0.765 0.601
Ga 0.250 0.250 0.000
Ga 0.750 0.750 0.000
Bi 0.099 0.780 0.879
Bi 0.401 0.280 0.681
Bi 0.599 0.720 0.319
Bi 0.901 0.220 0.121
Pb 0.250 0.750 0.500
Pb 0.750 0.250 0.500

Summary:
- Calculated formation energy: -243.3 meV/atom
- Total moment: 0.00 μB/f.u.
- Space-group type: Ibam (72)



(18)
The following is a DFT calculation (PBE-GGA) of a relaxed structure of K2RbGaBi2.

a b c (Å): 9.446 9.446 9.446
angles (deg): 120.15 80.17 131.94
Fractional positions:
K 0.177 0.168 0.345
K 0.323 0.668 0.991
K 0.677 0.332 0.009
K 0.823 0.832 0.655
Rb 0.250 0.750 0.500
Rb 0.750 0.250 0.500
Ga 0.250 0.250 0.000
Ga 0.750 0.750 0.000
Bi 0.090 0.819 0.909
Bi 0.410 0.319 0.729
Bi 0.590 0.681 0.271
Bi 0.910 0.181 0.091

Summary:
- Calculated formation energy: -323.1 meV/atom
- Total moment: 0.00 μB/f.u.
- Space-group type: Ibam (72)



(19)
The following is a DFT calculation (PBE-GGA) of a relaxed structure of KRb2GaBi2.

a b c (Å): 9.788 9.788 9.788
angles (deg): 126.30 73.40 133.92
Fractional positions:
K 0.250 0.250 0.000
K 0.750 0.750 0.000
Rb 0.173 0.695 0.868
Rb 0.327 0.195 0.522
Rb 0.673 0.805 0.478
Rb 0.827 0.305 0.132
Ga 0.250 0.750 0.500
Ga 0.750 0.250 0.500
Bi 0.088 0.311 0.399
Bi 0.412 0.811 0.224
Bi 0.588 0.189 0.776
Bi 0.912 0.689 0.601

Summary:
- Calculated formation energy: -331.2 meV/atom
- Total moment: 0.00 μB/f.u.
- Space-group type: Ibam (72)



(20)
The following is a DFT calculation (PBE-GGA) of a relaxed structure of K4GaBi3S8.

a b c (Å): 8.773 8.773 8.773
angles (deg): 55.22 55.22 55.22
Fractional positions:
K 0.000 0.000 0.000
K 0.000 0.500 0.500
K 0.500 0.000 0.500
K 0.500 0.500 0.000
Ga 0.500 0.500 0.500
Bi 0.000 0.000 0.500
Bi 0.000 0.500 0.000
Bi 0.500 0.000 0.000
S 0.238 0.238 0.238
S 0.261 0.718 0.718
S 0.282 0.282 0.739
S 0.282 0.739 0.282
S 0.718 0.261 0.718
S 0.718 0.718 0.261
S 0.739 0.282 0.282
S 0.762 0.762 0.762

Summary:
- Energy relative to the elements, uncorrected: -0.777 eV per atom
- Total moment: 0.00 μB/f.u.
- Space-group type: R-3m (166)



(21)
The following is a DFT calculation (PBE-GGA) of a relaxed structure of KGaBi2Sb.

a b c (Å): 5.937 5.937 6.238
angles (deg): 90.00 90.00 90.00
Fractional positions:
K 0.000 0.000 0.000
Ga 0.500 0.500 0.000
Bi 0.000 0.500 0.500
Bi 0.500 0.000 0.500
Sb 0.000 0.000 0.500

Summary:
- Energy relative to the elements, uncorrected: 0.434 eV per atom
- Total moment: 0.00 μB/f.u.
- Space-group type: P4/mmm (123)



(22)
The following is a DFT calculation (PBE-GGA) of a relaxed structure of KGa2TcBi.

a b c (Å): 4.992 4.992 5.358
angles (deg): 90.00 90.00 90.00
Fractional positions:
K 0.000 0.000 0.000
Ga 0.000 0.500 0.500
Ga 0.500 0.000 0.500
Tc 0.500 0.500 0.500
Bi 0.500 0.500 0.000

Summary:
- Calculated formation energy: -11.2 meV/atom
- Total moment: 0.00 μB/f.u.
- Space-group type: P4/mmm (123)



(23)
The following is a DFT calculation (PBE-GGA) of a relaxed structure of KGaBiTe3.

a b c (Å): 9.575 4.761 10.517
angles (deg): 90.00 103.37 90.00
Fractional positions:
K 0.197 0.250 0.234
K 0.803 0.750 0.766
Ga 0.088 0.250 0.605
Ga 0.912 0.750 0.395
Bi 0.334 0.750 0.868
Bi 0.666 0.250 0.132
Te 0.107 0.250 0.867
Te 0.201 0.750 0.536
Te 0.456 0.750 0.164
Te 0.544 0.250 0.836
Te 0.799 0.250 0.464
Te 0.893 0.750 0.133

Summary:
- Energy relative to the elements, uncorrected: -0.464 eV per atom
- Total moment: 0.00 μB/f.u.
- Space-group type: P2_1/m (11)